The following is a PBE-GGA calculation of BeGeMoSe2 after structural relaxation, from Alexandria.

Values from the calculation:
Formation energy without anion corrections, meV per atom: 792
Energy, eV per atom: -4.44
Space group: P4/mmm, No. 123
Total magnetization, μB per atom: 0.420

extended XYZ file:
```
5
Lattice="-0.7097 4.5112 0.1123 -3.5047 -0.4833 -2.7337 -2.7462 -0.5219 3.6129" Properties=species:S:1:pos:R:3 pbc="T T T"
Be 0.0000 0.0000 0.0000
Mo -1.7523 -0.2416 -1.3669
Ge -3.4803 1.7530 0.4957
Se -1.3731 -0.2610 1.8065
Se -0.3548 2.2556 0.0561
```